Entry 1:
Computed, not measured: a geometry-optimized Tb12Pr5Cd2 structure at the PBE level of DFT.

Unit cell a=9.0838 b=9.0838 c=8.4488 alpha=92.20 beta=92.20 gamma=61.75
Element x y z (fractional)
Tb1 0.0548 0.0548 0.3272
Tb2 0.0657 0.6814 0.3251
Tb3 0.1744 0.5391 0.7636
Tb4 0.3186 0.9343 0.6749
Tb5 0.4246 0.4246 0.1203
Tb6 0.4609 0.8256 0.2364
Tb7 0.5391 0.1744 0.7636
Tb8 0.5754 0.5754 0.8797
Tb9 0.6814 0.0657 0.3251
Tb10 0.8256 0.4609 0.2364
Tb11 0.9343 0.3186 0.6749
Tb12 0.9452 0.9452 0.6728
Pr1 0.2027 0.2027 0.0177
Pr2 0.2659 0.2659 0.4256
Pr3 0.5000 0.5000 0.5000
Pr4 0.7341 0.7341 0.5744
Pr5 0.7973 0.7973 0.9823
Cd1 0.1721 0.8279 0.0000
Cd2 0.8279 0.1721 0.0000

SG	No. 12
formation enthalpy at 0 K	0.038	eV per atom



Entry 2:
Computed, not measured: a geometry-optimized Tb5PrCd6 structure at the PBE level of DFT.

Unit cell a=5.3192 b=7.6168 c=8.4249 alpha=90.00 beta=108.33 gamma=90.00
Element x y z (fractional)
Tb1 0.0000 0.0000 0.0000
Tb2 0.3324 0.5000 0.6649
Tb3 0.3354 0.0000 0.6707
Tb4 0.6646 0.0000 0.3293
Tb5 0.6676 0.5000 0.3351
Pr1 0.0000 0.5000 0.0000
Cd1 0.1700 0.2447 0.3401
Cd2 0.1700 0.7553 0.3401
Cd3 0.5000 0.2439 0.0000
Cd4 0.5000 0.7561 0.0000
Cd5 0.8300 0.2447 0.6599
Cd6 0.8300 0.7553 0.6599

SG	No. 10
formation enthalpy at 0 K	-0.316	eV per atom



Entry 3:
Computed, not measured: a geometry-optimized Tb2Pr3Cd2 structure at the PBE level of DFT.

Unit cell a=12.0583 b=12.0583 c=3.5347 alpha=90.00 beta=90.00 gamma=155.43
Element x y z (fractional)
Tb1 0.2102 0.7898 0.0000
Tb2 0.7898 0.2102 0.0000
Pr1 0.3558 0.6442 0.5000
Pr2 0.5000 0.5000 0.5000
Pr3 0.6442 0.3558 0.5000
Cd1 0.0694 0.9306 0.0000
Cd2 0.9306 0.0694 0.0000

SG	No. 65
distance to the lowest polymorph of the same formula	61	kJ/mol of formula units
formation enthalpy at 0 K	-0.057	eV per atom



Entry 4:
Computed, not measured: a geometry-optimized Tb5Pr5Cd2 structure at the PBE level of DFT.

Unit cell a=6.7965 b=6.7965 c=11.2433 alpha=90.23 beta=90.23 gamma=48.00
Element x y z (fractional)
Tb1 0.0000 0.0000 0.0000
Tb2 0.1833 0.1833 0.7468
Tb3 0.3185 0.3185 0.4651
Tb4 0.6815 0.6815 0.5349
Tb5 0.8167 0.8167 0.2532
Pr1 0.0000 0.0000 0.5000
Pr2 0.3213 0.3213 0.0333
Pr3 0.4808 0.4808 0.7476
Pr4 0.5192 0.5192 0.2524
Pr5 0.6787 0.6787 0.9667
Cd1 0.1515 0.1515 0.2492
Cd2 0.8485 0.8485 0.7508

SG	No. 12
formation enthalpy at 0 K	-0.062	eV per atom



Entry 5:
Computed, not measured: a geometry-optimized Tb3PrCd3 structure at the PBE level of DFT.

Unit cell a=7.5999 b=7.5999 c=7.1452 alpha=90.00 beta=90.00 gamma=91.60
Element x y z (fractional)
Tb1 0.2342 0.2342 0.0000
Tb2 0.2485 0.7515 0.0000
Tb3 0.2500 0.7500 0.5000
Tb4 0.7500 0.2500 0.5000
Tb5 0.7515 0.2485 0.0000
Tb6 0.7658 0.7658 0.0000
Pr1 0.2309 0.2309 0.5000
Pr2 0.7691 0.7691 0.5000
Cd1 0.0000 0.5000 0.2436
Cd2 0.0000 0.5000 0.7564
Cd3 0.5000 0.0000 0.2436
Cd4 0.5000 0.0000 0.7564
Cd5 0.5000 0.5000 0.2442
Cd6 0.5000 0.5000 0.7558

SG	No. 65
formation enthalpy at 0 K	-0.144	eV per atom



Entry 6:
Computed, not measured: a geometry-optimized Tb4PrCd5 structure at the PBE level of DFT.

Unit cell a=3.7779 b=3.7779 c=18.9745 alpha=90.00 beta=90.00 gamma=90.00
Element x y z (fractional)
Tb1 0.0000 0.0000 0.0981
Tb2 0.0000 0.0000 0.2949
Tb3 0.0000 0.0000 0.7051
Tb4 0.0000 0.0000 0.9019
Pr1 0.0000 0.0000 0.5000
Cd1 0.5000 0.5000 0.0000
Cd2 0.5000 0.5000 0.1967
Cd3 0.5000 0.5000 0.3907
Cd4 0.5000 0.5000 0.6093
Cd5 0.5000 0.5000 0.8033

SG	No. 123
formation enthalpy at 0 K	-0.317	eV per atom



Entry 7:
Computed, not measured: a geometry-optimized TbPr8Cd6 structure at the PBE level of DFT.

Unit cell a=8.4873 b=8.4873 c=8.4873 alpha=65.95 beta=65.95 gamma=65.95
Element x y z (fractional)
Tb1 0.0000 0.0000 0.0000
Pr1 0.1160 0.4561 0.7817
Pr2 0.2183 0.8840 0.5439
Pr3 0.3345 0.3345 0.3345
Pr4 0.4561 0.7817 0.1160
Pr5 0.5439 0.2183 0.8840
Pr6 0.6655 0.6655 0.6655
Pr7 0.7817 0.1160 0.4561
Pr8 0.8840 0.5439 0.2183
Cd1 0.0486 0.7226 0.3751
Cd2 0.2774 0.6249 0.9514
Cd3 0.3751 0.0486 0.7226
Cd4 0.6249 0.9514 0.2774
Cd5 0.7226 0.3751 0.0486
Cd6 0.9514 0.2774 0.6249

SG	No. 148
formation enthalpy at 0 K	-0.097	eV per atom



Entry 8:
Computed, not measured: a geometry-optimized Tb4Pr3Cd structure at the PBE level of DFT.

Unit cell a=3.6463 b=3.6463 c=19.3724 alpha=90.00 beta=90.00 gamma=90.00
Element x y z (fractional)
Tb1 0.0000 0.0000 0.1040
Tb2 0.0000 0.0000 0.3677
Tb3 0.0000 0.0000 0.6323
Tb4 0.0000 0.0000 0.8960
Pr1 0.5000 0.5000 0.2351
Pr2 0.5000 0.5000 0.5000
Pr3 0.5000 0.5000 0.7649
Cd1 0.5000 0.5000 0.0000

SG	No. 123
distance to the lowest polymorph of the same formula	0	kJ/mol of formula units
formation enthalpy at 0 K	-0.068	eV per atom



Entry 9:
Computed, not measured: a geometry-optimized Tb2Pr2Cd3 structure at the PBE level of DFT.

Unit cell a=5.3927 b=5.3927 c=8.9496 alpha=107.50 beta=107.50 gamma=60.13
Element x y z (fractional)
Tb1 0.1314 0.1314 0.3909
Tb2 0.8686 0.8686 0.6091
Pr1 0.3874 0.3874 0.1600
Pr2 0.6126 0.6126 0.8400
Cd1 0.0000 0.0000 0.0000
Cd2 0.2531 0.2531 0.7620
Cd3 0.7469 0.7469 0.2380

SG	No. 12
formation enthalpy at 0 K	-0.144	eV per atom



Entry 10:
Computed, not measured: a geometry-optimized Tb2PrCd3 structure at the PBE level of DFT.

Unit cell a=3.7903 b=3.7903 c=11.4627 alpha=90.00 beta=90.00 gamma=90.00
Element x y z (fractional)
Tb1 0.0000 0.0000 0.1623
Tb2 0.0000 0.0000 0.8377
Pr1 0.0000 0.0000 0.5000
Cd1 0.5000 0.5000 0.0000
Cd2 0.5000 0.5000 0.3207
Cd3 0.5000 0.5000 0.6793

SG	No. 123
formation enthalpy at 0 K	-0.316	eV per atom



Entry 11:
Computed, not measured: a geometry-optimized Tb6Pr12Cd structure at the PBE level of DFT.

Unit cell a=8.8258 b=8.8258 c=8.8258 alpha=97.82 beta=97.82 gamma=97.82
Element x y z (fractional)
Tb1 0.0941 0.3630 0.3630
Tb2 0.3630 0.0941 0.3630
Tb3 0.3630 0.3630 0.0941
Tb4 0.6370 0.6370 0.9059
Tb5 0.6370 0.9059 0.6370
Tb6 0.9059 0.6370 0.6370
Pr1 0.0812 0.0812 0.6705
Pr2 0.0812 0.6705 0.0812
Pr3 0.2407 0.5000 0.7593
Pr4 0.2407 0.7593 0.5000
Pr5 0.3295 0.9188 0.9188
Pr6 0.5000 0.2407 0.7593
Pr7 0.5000 0.7593 0.2407
Pr8 0.6705 0.0812 0.0812
Pr9 0.7593 0.2407 0.5000
Pr10 0.7593 0.5000 0.2407
Pr11 0.9188 0.3295 0.9188
Pr12 0.9188 0.9188 0.3295
Cd1 0.5000 0.5000 0.5000

SG	No. 166
formation enthalpy at 0 K	0.110	eV per atom



Entry 12:
Computed, not measured: a geometry-optimized Tb3Pr2Cd3 structure at the PBE level of DFT.

Unit cell a=4.9753 b=4.9771 c=9.3121 alpha=90.00 beta=90.00 gamma=90.00
Element x y z (fractional)
Tb1 0.0000 0.0000 0.0000
Tb2 0.0000 0.5000 0.2718
Tb3 0.0000 0.5000 0.7282
Pr1 0.5000 0.0000 0.2567
Pr2 0.5000 0.0000 0.7433
Cd1 0.0000 0.0000 0.5000
Cd2 0.5000 0.5000 0.0000
Cd3 0.5000 0.5000 0.5000

SG	No. 47
distance to the lowest polymorph of the same formula	36	kJ/mol of formula units
formation enthalpy at 0 K	-0.177	eV per atom



Entry 13:
Computed, not measured: a geometry-optimized Tb3Pr4Cd structure at the PBE level of DFT.

Unit cell a=4.1704 b=4.1704 c=15.0636 alpha=90.00 beta=90.00 gamma=90.00
Element x y z (fractional)
Tb1 0.0000 0.0000 0.0000
Tb2 0.0000 0.0000 0.2496
Tb3 0.0000 0.0000 0.7504
Pr1 0.5000 0.5000 0.1223
Pr2 0.5000 0.5000 0.3841
Pr3 0.5000 0.5000 0.6159
Pr4 0.5000 0.5000 0.8777
Cd1 0.0000 0.0000 0.5000

SG	No. 123
formation enthalpy at 0 K	0.013	eV per atom



Entry 14:
Computed, not measured: a geometry-optimized TbPr2Cd3 structure at the PBE level of DFT.

Unit cell a=3.8243 b=3.8243 c=11.6435 alpha=90.00 beta=90.00 gamma=90.00
Element x y z (fractional)
Tb1 0.0000 0.0000 0.0000
Pr1 0.0000 0.0000 0.3286
Pr2 0.0000 0.0000 0.6714
Cd1 0.5000 0.5000 0.1541
Cd2 0.5000 0.5000 0.5000
Cd3 0.5000 0.5000 0.8459

SG	No. 123
formation enthalpy at 0 K	-0.315	eV per atom



Entry 15:
Computed, not measured: a geometry-optimized Tb3Pr2Cd3 structure at the PBE level of DFT.

Unit cell a=11.7777 b=11.7777 c=11.7777 alpha=161.33 beta=153.59 gamma=32.54
Element x y z (fractional)
Tb1 0.0000 0.0000 0.0000
Tb2 0.3807 0.8807 0.5000
Tb3 0.6193 0.1193 0.5000
Pr1 0.2313 0.2313 0.0000
Pr2 0.7687 0.7687 0.0000
Cd1 0.1126 0.6126 0.5000
Cd2 0.5000 0.5000 0.0000
Cd3 0.8874 0.3874 0.5000

SG	No. 71
distance to the lowest polymorph of the same formula	0	kJ/mol of formula units
formation enthalpy at 0 K	-0.225	eV per atom



Entry 16:
Computed, not measured: a geometry-optimized Tb8Pr6Cd structure at the PBE level of DFT.

Unit cell a=9.5739 b=9.5739 c=6.3753 alpha=90.00 beta=90.00 gamma=120.00
Element x y z (fractional)
Tb1 0.0415 0.7806 0.1921
Tb2 0.2194 0.2609 0.1921
Tb3 0.2609 0.0415 0.8079
Tb4 0.3333 0.6667 0.1799
Tb5 0.6667 0.3333 0.8201
Tb6 0.7391 0.9585 0.1921
Tb7 0.7806 0.7391 0.8079
Tb8 0.9585 0.2194 0.8079
Pr1 0.0907 0.6377 0.6895
Pr2 0.3623 0.4530 0.6895
Pr3 0.4530 0.0907 0.3105
Pr4 0.5470 0.9093 0.6895
Pr5 0.6377 0.5470 0.3105
Pr6 0.9093 0.3623 0.3105
Cd1 0.0000 0.0000 0.5000

SG	No. 147
formation enthalpy at 0 K	0.076	eV per atom



Entry 17:
Computed, not measured: a geometry-optimized Tb8Pr2Cd structure at the PBE level of DFT.

Unit cell a=6.1524 b=6.1654 c=9.3583 alpha=90.01 beta=96.44 gamma=99.89
Element x y z (fractional)
Tb1 0.0448 0.0946 0.1748
Tb2 0.2320 0.4622 0.9114
Tb3 0.3106 0.6414 0.2676
Tb4 0.4130 0.8208 0.6434
Tb5 0.5870 0.1792 0.3566
Tb6 0.6894 0.3586 0.7324
Tb7 0.7680 0.5378 0.0886
Tb8 0.9552 0.9054 0.8252
Pr1 0.1356 0.2759 0.5419
Pr2 0.8644 0.7241 0.4581
Cd1 0.5000 0.0000 0.0000

SG	No. 2
distance to the lowest polymorph of the same formula	8	kJ/mol of formula units
formation enthalpy at 0 K	-0.001	eV per atom



Entry 18:
Computed, not measured: a geometry-optimized Tb4Pr8Cd structure at the PBE level of DFT.

Unit cell a=10.9633 b=10.9633 c=10.9633 alpha=38.79 beta=38.79 gamma=38.79
Element x y z (fractional)
Tb1 0.0000 0.0000 0.0000
Tb2 0.0000 0.5000 0.5000
Tb3 0.5000 0.0000 0.5000
Tb4 0.5000 0.5000 0.0000
Pr1 0.2242 0.2242 0.2242
Pr2 0.2319 0.7434 0.7434
Pr3 0.2566 0.2566 0.7681
Pr4 0.2566 0.7681 0.2566
Pr5 0.7434 0.2319 0.7434
Pr6 0.7434 0.7434 0.2319
Pr7 0.7681 0.2566 0.2566
Pr8 0.7758 0.7758 0.7758
Cd1 0.5000 0.5000 0.5000

SG	No. 166
formation enthalpy at 0 K	0.107	eV per atom



Entry 19:
Computed, not measured: a geometry-optimized Tb8Pr2Cd structure at the PBE level of DFT.

Unit cell a=9.3952 b=9.3952 c=7.9409 alpha=104.98 beta=104.98 gamma=31.03
Element x y z (fractional)
Tb1 0.0446 0.0446 0.2221
Tb2 0.1334 0.1334 0.6741
Tb3 0.3202 0.3202 0.5903
Tb4 0.4121 0.4121 0.0559
Tb5 0.5879 0.5879 0.9441
Tb6 0.6798 0.6798 0.4097
Tb7 0.8666 0.8666 0.3259
Tb8 0.9554 0.9554 0.7779
Pr1 0.2233 0.2233 0.1374
Pr2 0.7767 0.7767 0.8626
Cd1 0.5000 0.5000 0.5000

SG	No. 12
distance to the lowest polymorph of the same formula	0	kJ/mol of formula units
formation enthalpy at 0 K	-0.008	eV per atom



Entry 20:
Computed, not measured: a geometry-optimized Tb4Pr5Cd4 structure at the PBE level of DFT.

Unit cell a=9.1483 b=9.1483 c=9.1483 alpha=94.75 beta=94.75 gamma=146.54
Element x y z (fractional)
Tb1 0.0968 0.3952 0.4919
Tb2 0.3952 0.9032 0.2984
Tb3 0.6048 0.0968 0.7016
Tb4 0.9032 0.6048 0.5081
Pr1 0.0000 0.0000 0.0000
Pr2 0.3145 0.6098 0.9243
Pr3 0.3902 0.3145 0.7047
Pr4 0.6098 0.6855 0.2953
Pr5 0.6855 0.3902 0.0757
Cd1 0.0985 0.7591 0.8577
Cd2 0.2409 0.0985 0.3394
Cd3 0.7591 0.9015 0.6606
Cd4 0.9015 0.2409 0.1423

SG	No. 87
formation enthalpy at 0 K	-0.173	eV per atom



Entry 21:
Computed, not measured: a geometry-optimized Tb4Pr3Cd2 structure at the PBE level of DFT.

Unit cell a=9.5461 b=9.5461 c=6.4650 alpha=97.61 beta=97.61 gamma=79.34
Element x y z (fractional)
Tb1 0.1503 0.6875 0.9263
Tb2 0.1617 0.4667 0.4180
Tb3 0.3125 0.8497 0.5737
Tb4 0.4667 0.1617 0.9180
Tb5 0.5333 0.8383 0.0820
Tb6 0.6875 0.1503 0.4263
Tb7 0.8383 0.5333 0.5820
Tb8 0.8497 0.3125 0.0737
Pr1 0.0360 0.1687 0.5780
Pr2 0.1687 0.0360 0.0780
Pr3 0.4727 0.5273 0.2500
Pr4 0.5273 0.4727 0.7500
Pr5 0.8313 0.9640 0.9220
Pr6 0.9640 0.8313 0.4220
Cd1 0.1738 0.3728 0.9280
Cd2 0.3728 0.1738 0.4280
Cd3 0.6272 0.8262 0.5720
Cd4 0.8262 0.6272 0.0720

SG	No. 15
formation enthalpy at 0 K	-0.023	eV per atom